1.
Below is a geometry-optimized La2MnInS5 structure, with properties calculated at the PBE level.

POSCAR file:
```
La2MnInS5
1.0
2.040 -8.467 0.000
2.040 8.467 0.000
0.000 0.000 11.942
La Mn In S
4 2 2 10
Direct
0.119 0.881 0.500
0.130 0.870 0.100
0.870 0.130 0.600
0.881 0.119 0.000
0.500 0.500 0.286
0.500 0.500 0.786
0.195 0.805 0.805
0.805 0.195 0.305
0.039 0.961 0.869
0.291 0.709 0.467
0.303 0.697 0.144
0.358 0.642 0.808
0.500 0.500 0.090
0.500 0.500 0.590
0.642 0.358 0.308
0.697 0.303 0.644
0.709 0.291 0.967
0.961 0.039 0.369
```

Output
The density of states at the Fermi level is 5.57 states/eV per cell. Its space-group type is Cmc2_1, No. 36. The total energy is -6.10 eV/atom. The spin magnetization is 0.49 μB per atom. The formation energy without anion corrections comes out at -1.384 eV/atom. The theoretical density comes out at 4894 kg/m3.



2.
Below is a geometry-optimized LaMnIn2Se structure, with properties calculated at the PBE level.

POSCAR file:
```
LaMnIn2Se
1.0
6.357 0.000 0.000
0.000 6.357 0.000
0.000 0.000 5.560
La Mn In Se
1 1 2 1
Direct
0.000 0.000 0.000
0.500 0.500 0.500
0.000 0.500 0.000
0.500 0.000 0.000
0.000 0.000 0.500
```

Output
The density of states at the Fermi level is 4.97 states/eV per cell. Its space-group type is P4/mmm, No. 123. The total energy is -4.02 eV/atom. The spin magnetization is 0.88 μB per atom. The formation energy without anion corrections comes out at 0.592 eV/atom. The theoretical density comes out at 3713 kg/m3.



3.
Below is a geometry-optimized La2MnInSe5 structure, with properties calculated at the PBE level.

POSCAR file:
```
La2MnInSe5
1.0
2.081 -8.718 0.000
2.081 8.718 0.000
0.000 0.000 12.692
La Mn In Se
4 2 2 10
Direct
0.119 0.881 0.500
0.123 0.877 0.850
0.877 0.123 0.350
0.881 0.119 0.000
0.431 0.569 0.602
0.569 0.431 0.102
0.181 0.819 0.189
0.819 0.181 0.689
0.004 0.996 0.176
0.304 0.696 0.502
0.304 0.696 0.844
0.337 0.663 0.173
0.499 0.501 0.425
0.501 0.499 0.925
0.663 0.337 0.673
0.696 0.304 0.002
0.696 0.304 0.344
0.996 0.004 0.676
```

Output
The density of states at the Fermi level is 2.92 states/eV per cell. Its space-group type is Cmc2_1, No. 36. The total energy is -5.64 eV/atom. The spin magnetization is 0.47 μB per atom. The formation energy without anion corrections comes out at -1.289 eV/atom. The theoretical density comes out at 6074 kg/m3.



4.
Below is a geometry-optimized LaSmMnIn structure, with properties calculated at the PBE level.

POSCAR file:
```
LaSmMnIn
1.0
0.000 3.813 3.813
3.813 0.000 3.813
3.813 3.813 0.000
La Sm Mn In
1 1 1 1
Direct
0.000 0.000 0.000
0.500 0.500 0.500
0.250 0.250 0.250
0.750 0.750 0.750
```

Output
The density of states at the Fermi level is 4.97 states/eV per cell. Its formation energy is -1.43 kcal/mol of atoms. Its space-group type is F-43m, No. 216. The total energy is -5.45 eV/atom. The spin magnetization is 0.84 μB per atom. The theoretical density comes out at 6875 kg/m3.



5.
Below is a geometry-optimized LaTbMnIn structure, with properties calculated at the PBE level.

POSCAR file:
```
LaTbMnIn
1.0
0.000 3.781 3.781
3.781 0.000 3.781
3.781 3.781 0.000
La Tb Mn In
1 1 1 1
Direct
0.000 0.000 0.000
0.500 0.500 0.500
0.250 0.250 0.250
0.750 0.750 0.750
```

Output
The density of states at the Fermi level is 4.64 states/eV per cell. Its formation energy is -1.64 kcal/mol of atoms. Its space-group type is F-43m, No. 216. The total energy is -5.44 eV/atom. The spin magnetization is 0.83 μB per atom. The theoretical density comes out at 7181 kg/m3.



6.
Below is a geometry-optimized LaTmMnIn structure, with properties calculated at the PBE level.

POSCAR file:
```
LaTmMnIn
1.0
0.000 3.750 3.750
3.750 0.000 3.750
3.750 3.750 0.000
La Tm Mn In
1 1 1 1
Direct
0.000 0.000 0.000
0.500 0.500 0.500
0.250 0.250 0.250
0.750 0.750 0.750
```

Output
The density of states at the Fermi level is 4.31 states/eV per cell. Its formation energy is -1.60 kcal/mol of atoms. Its space-group type is F-43m, No. 216. The total energy is -5.40 eV/atom. The spin magnetization is 0.84 μB per atom. The theoretical density comes out at 7519 kg/m3.



7.
Below is a geometry-optimized LaYMnIn structure, with properties calculated at the PBE level.

POSCAR file:
```
LaYMnIn
1.0
0.000 3.780 3.780
3.780 0.000 3.780
3.780 3.780 0.000
La Y Mn In
1 1 1 1
Direct
0.000 0.000 0.000
0.500 0.500 0.500
0.750 0.750 0.750
0.250 0.250 0.250
```

Output
The density of states at the Fermi level is 4.40 states/eV per cell. Its formation energy is -1.98 kcal/mol of atoms. Its space-group type is F-43m, No. 216. The total energy is -5.91 eV/atom. The spin magnetization is 0.84 μB per atom. The theoretical density comes out at 6113 kg/m3.



8.
Below is a geometry-optimized LaInMo structure, with properties calculated at the PBE level.

POSCAR file:
```
LaInMo
1.0
5.242 -2.167 0.000
5.242 2.167 0.000
-2.373 0.000 7.001
La In Mo
2 2 2
Direct
0.000 0.000 0.000
0.720 0.720 0.463
0.348 0.348 0.209
0.469 0.469 0.648
0.213 0.213 0.767
0.714 0.714 0.945
```

Output
The density of states at the Fermi level is 5.21 states/eV per cell. Its formation energy is 1.37 kcal/mol of atoms. Its space-group type is Cm, No. 8. The total energy is -6.11 eV/atom. The spin magnetization is 0.00 μB per atom. The energy above the most stable polymorph in this dataset comes out at 110 meV/atom. The theoretical density comes out at 7301 kg/m3.



9.
Below is a geometry-optimized La4InMo structure, with properties calculated at the PBE level.

POSCAR file:
```
La4InMo
1.0
0.000 4.531 4.531
4.531 0.000 4.531
4.531 4.531 0.000
La In Mo
4 1 1
Direct
0.124 0.124 0.124
0.124 0.124 0.628
0.124 0.628 0.124
0.628 0.124 0.124
0.500 0.500 0.500
0.750 0.750 0.750
```

Output
The density of states at the Fermi level is 10.24 states/eV per cell. Its formation energy is 15.65 kcal/mol of atoms. Its space-group type is F-43m, No. 216. The total energy is -4.87 eV/atom. The spin magnetization is 0.40 μB per atom. The theoretical density comes out at 6842 kg/m3.



10.
Below is a geometry-optimized LaIn2Mo structure, with properties calculated at the PBE level.

POSCAR file:
```
LaIn2Mo
1.0
3.124 0.000 0.000
0.000 4.466 0.000
-1.554 0.000 7.014
La In Mo
1 2 1
Direct
0.000 0.000 0.000
0.222 0.000 0.450
0.356 0.500 0.709
0.651 0.500 0.306
```

Output
The density of states at the Fermi level is 4.23 states/eV per cell. Its formation energy is 6.08 kcal/mol of atoms. Its space-group type is Pm, No. 6. The total energy is -5.05 eV/atom. The spin magnetization is 0.00 μB per atom. The energy above the most stable polymorph in this dataset comes out at 175 meV/atom. The theoretical density comes out at 7883 kg/m3.



11.
Below is a geometry-optimized La2InMo structure, with properties calculated at the PBE level.

POSCAR file:
```
La2InMo
1.0
-2.368 2.368 4.575
2.368 -2.368 4.575
2.368 2.368 -4.575
La In Mo
2 1 1
Direct
0.000 0.000 0.000
0.750 0.250 0.500
0.500 0.500 0.000
0.250 0.750 0.500
```

Output
The density of states at the Fermi level is 5.16 states/eV per cell. Its formation energy is 4.46 kcal/mol of atoms. Its space-group type is I-4m2, No. 119. The total energy is -5.66 eV/atom. The spin magnetization is 0.26 μB per atom. The theoretical density comes out at 7908 kg/m3.



12.
Below is a geometry-optimized LaInMo structure, with properties calculated at the PBE level.

POSCAR file:
```
LaInMo
1.0
4.641 -4.077 0.000
4.641 4.077 0.000
-2.300 0.000 4.012
La In Mo
2 2 2
Direct
0.190 0.810 0.500
0.810 0.190 0.000
0.198 0.414 0.806
0.414 0.198 0.306
0.632 0.732 0.184
0.732 0.632 0.684
```

Output
The density of states at the Fermi level is 5.18 states/eV per cell. Its formation energy is 0.27 kcal/mol of atoms. Its space-group type is Cc, No. 9. The total energy is -6.15 eV/atom. The spin magnetization is 0.00 μB per atom. The energy above the most stable polymorph in this dataset comes out at 62 meV/atom. The theoretical density comes out at 7649 kg/m3.



13.
Below is a geometry-optimized LaIn2Mo structure, with properties calculated at the PBE level.

POSCAR file:
```
LaIn2Mo
1.0
-1.576 2.406 6.873
1.576 -2.406 6.873
1.576 2.406 -6.873
La In Mo
1 2 1
Direct
0.000 0.000 0.000
0.309 0.809 0.500
0.636 0.636 0.000
0.808 0.308 0.500
```

Output
The density of states at the Fermi level is 2.62 states/eV per cell. Its formation energy is 3.47 kcal/mol of atoms. Its space-group type is Imm2, No. 44. The total energy is -5.16 eV/atom. The spin magnetization is 0.00 μB per atom. The energy above the most stable polymorph in this dataset comes out at 62 meV/atom. The theoretical density comes out at 7396 kg/m3.